Ba6PSe4 after structural relaxation, computed with GGA-PBE.

Cell lengths 13.2281, 13.2281, 16.1388 Å; angles 90.00, 90.00, 120.00 degrees
Space group R-3c (No. 167, hexagonal axes)
Asymmetric unit:
Ba: 0.0360 0.1988 0.3899 (multiplicity 36)
P: 0.0000 0.0000 0.0000 (multiplicity 6)
Se: 0.0000 0.0000 0.2500 (multiplicity 6)
Se: 0.0000 0.3823 0.2500 (multiplicity 18)

Properties
The value obtained for the total magnetization is 0.0002 μB/atom. As for the crystal system: trigonal. Its density of states at the Fermi level is 0.62 states/eV per atom. For the total energy, the calculation gives -287.604 eV per cell. The uncorrected formation energy comes out at -1.550 eV/atom.